Entry 1:
Computed, not measured: an optimized crystal structure of InMo2S2 at the GGA-PBE level of DFT.

POSCAR file:
```
InMo2S2
1.0
-1.5691 2.0772 -2.9659
2.3413 -1.8838 -2.5579
-3.5591 -3.8692 -3.4523
Mo S In
2 2 1
direct
0.3742 0.3742 0.2515
0.6258 0.6258 0.7485
0.2500 0.7500 0.5000
0.7500 0.2500 0.5000
0.0000 0.0000 0.0000
```

Summary:
Raw total energy ... -32.4 eV per formula unit
Distance to the lowest polymorph of the same formula ... 1.023 eV per formula unit
Symmetry ... I4/mmm, No. 139
Density ... 7.015 g cm⁻³



Entry 2:
Computed, not measured: an optimized crystal structure of YTlZn at the GGA-PBE level of DFT.

POSCAR file:
```
YTlZn
1.0
4.7216 0.0000 0.0000
-2.3608 4.0890 0.0000
0.0000 0.0000 3.6399
Tl Y Zn
1 1 1
direct
0.0000 0.0000 0.2396
0.6667 0.3333 0.7381
0.3333 0.6667 0.2358
```

Summary:
Raw total energy ... -11.0 eV per formula unit
Formation enthalpy at 0 K ... -307 meV/atom
Symmetry ... P3m1, No. 156
Density ... 8.476 g cm⁻³



Entry 3:
Computed, not measured: an optimized crystal structure of AlC2 at the GGA-PBE level of DFT.

POSCAR file:
```
AlC2
1.0
13.3465 -0.0025 0.0000
12.8113 3.7415 0.0000
-13.0789 -1.8695 1.8910
Al C
4 8
direct
0.0626 0.0626 0.0000
0.9374 0.9374 0.0000
0.3126 0.8126 0.5000
0.1874 0.6874 0.5000
0.7475 0.7475 0.0000
0.3910 0.3910 0.0000
0.9975 0.4975 0.5000
0.2525 0.2525 0.0000
0.5025 0.0025 0.5000
0.8590 0.3590 0.5000
0.6090 0.6090 0.0000
0.6410 0.1410 0.5000
```

Summary:
Raw total energy ... -18.5 eV per formula unit
Formation enthalpy at 0 K ... 1243 meV/atom
Distance to the lowest polymorph of the same formula ... 2.866 eV per formula unit
Symmetry ... I4_1/amd, No. 141
Density ... 3.585 g cm⁻³